This record from Alexandria describes a relaxed Nd2HoInN crystal. The functional is PBE.

As for the formation energy without anion corrections: -4.5 eV/f.u. The value obtained for the magnetic moment is 0.00 μB per cell. For the total energy, the calculation gives -5.936 eV/atom.

The structure belongs to space group P4/mmm (No. 123); the cell edges are 5.0491, 5.0491 and 4.7908 Å and the angles 90.00°, 90.00° and 90.00°. The distinct sites, in fractional coordinates, are Nd at (0.0000, 0.5000, 0.0000), Ho at (0.0000, 0.0000, 0.5000), In at (0.5000, 0.5000, 0.5000) and N at (0.0000, 0.0000, 0.0000).